DFT (GGA-PBE) results for an optimized crystal structure of Zr2OsCl.

The structure belongs to space group Cm (No. 8); the cell edges are 16.2203, 3.1803 and 3.1801 Å and the angles 90.00°, 101.12° and 90.00°. The distinct sites, in fractional coordinates, are Zr at (0.0000, 0.0000, 0.0000), Zr at (0.2138, 0.0000, 0.2111), Os at (0.1128, 0.5000, 0.6113) and Cl at (0.3820, 0.0000, 0.3828).

For the energy, the calculation gives -65.29 eV/cell. The calculation puts the magnetic moment at 0.0 μB/cell.



DFT (GGA-PBE) results for an optimized crystal structure of K3PuP2S8.

The structure belongs to space group P-3m1 (No. 164); the cell edges are 7.0226, 7.0226 and 9.0595 Å and the angles 90.00°, 90.00° and 120.00°. The distinct sites, in fractional coordinates, are K at (0.0000, 0.0000, 0.0000), K at (0.3333, 0.6667, 0.6557), Pu at (0.0000, 0.0000, 0.5000), P at (0.3333, 0.6667, 0.2291), S at (0.1733, 0.3466, 0.3110) and S at (0.3333, 0.6667, 0.0126).

For the energy, the calculation gives -73.09 eV/cell. The calculation puts the magnetic moment at 5.0 μB/cell.



DFT (GGA-PBE) results for an optimized crystal structure of BaPr2Hg3.

The structure belongs to space group P4/mmm (No. 123); the cell edges are 3.9327, 3.9327 and 12.1407 Å and the angles 90.00°, 90.00° and 90.00°. The distinct sites, in fractional coordinates, are Ba at (0.0000, 0.0000, 0.0000), Pr at (0.0000, 0.0000, 0.3421), Hg at (0.5000, 0.5000, 0.1937) and Hg at (0.5000, 0.5000, 0.5000).

The formation energy comes out at -46.1 kJ/mol of atoms. The calculation puts the magnetic moment at 0.4 μB/cell.



Question: Which value of magnetic moment does entry 1 give?
Answer: 0.0 μB/cell



Question: The highest magnetic moment belongs to which entry?
Answer: K3PuP2S8



What did the first record say?
DFT (GGA-PBE) results for an optimized crystal structure of Zr2OsCl.

The structure belongs to space group Cm (No. 8); the cell edges are 16.2203, 3.1803 and 3.1801 Å and the angles 90.00°, 101.12° and 90.00°. The distinct sites, in fractional coordinates, are Zr at (0.0000, 0.0000, 0.0000), Zr at (0.2138, 0.0000, 0.2111), Os at (0.1128, 0.5000, 0.6113) and Cl at (0.3820, 0.0000, 0.3828).

For the energy, the calculation gives -65.29 eV/cell. The calculation puts the magnetic moment at 0.0 μB/cell.



What did the third record say?
DFT (GGA-PBE) results for an optimized crystal structure of BaPr2Hg3.

The structure belongs to space group P4/mmm (No. 123); the cell edges are 3.9327, 3.9327 and 12.1407 Å and the angles 90.00°, 90.00° and 90.00°. The distinct sites, in fractional coordinates, are Ba at (0.0000, 0.0000, 0.0000), Pr at (0.0000, 0.0000, 0.3421), Hg at (0.5000, 0.5000, 0.1937) and Hg at (0.5000, 0.5000, 0.5000).

The formation energy comes out at -46.1 kJ/mol of atoms. The calculation puts the magnetic moment at 0.4 μB/cell.